[1]
This record from the Alexandria database describes Ac2Zn5Ge after structural relaxation. The functional is PBE.

Cell lengths 8.730, 8.730, 9.148 Å; angles 90.00, 90.00, 149.08 degrees
Atoms (fractional coordinates):
Ac1 0.000 0.000 0.000
Ac2 0.000 0.000 0.500
Ac3 0.208 0.792 0.750
Ac4 0.792 0.208 0.250
Zn1 0.183 0.817 0.108
Zn2 0.183 0.817 0.392
Zn3 0.348 0.652 0.016
Zn4 0.348 0.652 0.484
Zn5 0.407 0.593 0.750
Zn6 0.593 0.407 0.250
Zn7 0.652 0.348 0.516
Zn8 0.652 0.348 0.984
Zn9 0.817 0.183 0.608
Zn10 0.817 0.183 0.892
Ge1 0.440 0.560 0.250
Ge2 0.560 0.440 0.750

calculated formation energy = -0.415 eV/atom
DOS(E_F) = 8.47 states/eV/cell



[2]
This record from the Alexandria database describes Ac4Zn3Ge after structural relaxation. The functional is PBE.

Cell lengths 4.420, 4.594, 12.004 Å; angles 90.00, 90.00, 90.00 degrees
Atoms (fractional coordinates):
Ac1 0.000 0.000 0.000
Ac2 0.000 0.500 0.493
Ac3 0.500 0.000 0.708
Ac4 0.500 0.500 0.210
Zn1 0.000 0.500 0.791
Zn2 0.500 0.000 0.415
Zn3 0.500 0.500 0.917
Ge1 0.000 0.000 0.281

calculated formation energy = -0.350 eV/atom
DOS(E_F) = 9.42 states/eV/cell



[3]
This record from the Alexandria database describes AcZn2Ge after structural relaxation. The functional is PBE.

Cell lengths 5.073, 5.073, 5.073 Å; angles 60.00, 60.00, 60.00 degrees
Atoms (fractional coordinates):
Ac1 0.000 0.000 0.000
Zn1 0.250 0.250 0.250
Zn2 0.750 0.750 0.750
Ge1 0.500 0.500 0.500

energy relative to the lowest polymorph listed for this composition = 27.8 kJ per mole of atoms
calculated formation energy = -0.161 eV/atom
DOS(E_F) = 1.59 states/eV/cell



[4]
This record from the Alexandria database describes Ac2Zn7Ge after structural relaxation. The functional is PBE.

Cell lengths 4.493, 4.493, 10.424 Å; angles 90.00, 90.00, 90.00 degrees
Atoms (fractional coordinates):
Ac1 0.000 0.500 0.250
Ac2 0.500 0.000 0.750
Zn1 0.000 0.000 0.000
Zn2 0.000 0.000 0.500
Zn3 0.000 0.500 0.625
Zn4 0.000 0.500 0.869
Zn5 0.500 0.000 0.131
Zn6 0.500 0.000 0.375
Zn7 0.500 0.500 0.500
Ge1 0.500 0.500 0.000

calculated formation energy = -0.339 eV/atom
DOS(E_F) = 7.49 states/eV/cell



[5]
This record from the Alexandria database describes Ac6Zn5Ge after structural relaxation. The functional is PBE.

Cell lengths 9.578, 9.578, 5.534 Å; angles 106.76, 106.76, 120.26 degrees
Atoms (fractional coordinates):
Ac1 0.082 0.411 0.746
Ac2 0.244 0.244 0.243
Ac3 0.411 0.082 0.746
Ac4 0.589 0.918 0.254
Ac5 0.756 0.756 0.757
Ac6 0.918 0.589 0.254
Zn1 0.174 0.826 0.000
Zn2 0.333 0.667 0.500
Zn3 0.500 0.500 0.000
Zn4 0.667 0.333 0.500
Zn5 0.826 0.174 0.000
Ge1 0.000 0.000 0.500

calculated formation energy = -0.308 eV/atom
DOS(E_F) = 10.99 states/eV/cell



[6]
This record from the Alexandria database describes AcZn2Ge2 after structural relaxation. The functional is PBE.

Cell lengths 4.595, 4.595, 10.093 Å; angles 90.00, 90.00, 90.00 degrees
Atoms (fractional coordinates):
Ac1 0.250 0.250 0.249
Ac2 0.750 0.750 0.751
Zn1 0.250 0.250 0.878
Zn2 0.250 0.750 0.500
Zn3 0.750 0.250 0.500
Zn4 0.750 0.750 0.122
Ge1 0.250 0.250 0.630
Ge2 0.250 0.750 0.000
Ge3 0.750 0.250 0.000
Ge4 0.750 0.750 0.370

calculated formation energy = -0.443 eV/atom
DOS(E_F) = 2.22 states/eV/cell



[7]
This record from the Alexandria database describes AcZnGe2 after structural relaxation. The functional is PBE.

Cell lengths 6.001, 6.001, 4.402 Å; angles 111.50, 111.50, 43.03 degrees
Atoms (fractional coordinates):
Ac1 0.000 0.000 0.000
Zn1 0.250 0.250 0.751
Ge1 0.377 0.377 0.378
Ge2 0.623 0.623 0.617

energy relative to the lowest polymorph listed for this composition = 0.0 kJ per mole of atoms
calculated formation energy = -0.397 eV/atom
DOS(E_F) = 2.76 states/eV/cell



[8]
This record from the Alexandria database describes AcZnGe2 after structural relaxation. The functional is PBE.

Cell lengths 4.351, 5.027, 5.027 Å; angles 73.20, 90.00, 90.00 degrees
Atoms (fractional coordinates):
Ac1 0.000 0.000 0.000
Zn1 0.500 0.560 0.560
Ge1 0.500 0.073 0.490
Ge2 0.500 0.490 0.073

energy relative to the lowest polymorph listed for this composition = 8.9 kJ per mole of atoms
calculated formation energy = -0.305 eV/atom
DOS(E_F) = 2.23 states/eV/cell



[9]
This record from the Alexandria database describes AcZnGe after structural relaxation. The functional is PBE.

Cell lengths 5.556, 5.556, 9.112 Å; angles 90.00, 90.00, 120.00 degrees
Atoms (fractional coordinates):
Ac1 0.000 0.665 0.000
Ac2 0.335 0.335 0.667
Ac3 0.665 0.000 0.333
Zn1 0.334 0.332 0.029
Zn2 0.668 0.002 0.696
Zn3 0.998 0.666 0.362
Ge1 0.002 0.668 0.638
Ge2 0.332 0.334 0.304
Ge3 0.666 0.998 0.971

energy relative to the lowest polymorph listed for this composition = 33.4 kJ per mole of atoms
calculated formation energy = -0.277 eV/atom
DOS(E_F) = 8.37 states/eV/cell



[10]
This record from the Alexandria database describes AcZn2Ge after structural relaxation. The functional is PBE.

Cell lengths 6.106, 6.106, 6.106 Å; angles 42.44, 42.44, 42.44 degrees
Atoms (fractional coordinates):
Ac1 0.000 0.000 0.000
Zn1 0.215 0.215 0.215
Zn2 0.785 0.785 0.785
Ge1 0.500 0.500 0.500

energy relative to the lowest polymorph listed for this composition = 14.4 kJ per mole of atoms
calculated formation energy = -0.300 eV/atom
DOS(E_F) = 2.69 states/eV/cell



[11]
This record from the Alexandria database describes Ac2Zn2Ge3 after structural relaxation. The functional is PBE.

Cell lengths 5.880, 5.880, 7.096 Å; angles 105.27, 105.27, 45.54 degrees
Atoms (fractional coordinates):
Ac1 0.135 0.135 0.286
Ac2 0.865 0.865 0.714
Zn1 0.172 0.172 0.794
Zn2 0.828 0.828 0.206
Ge1 0.402 0.402 0.071
Ge2 0.500 0.500 0.500
Ge3 0.598 0.598 0.929

energy relative to the lowest polymorph listed for this composition = 4.7 kJ per mole of atoms
calculated formation energy = -0.453 eV/atom
DOS(E_F) = 2.57 states/eV/cell



[12]
This record from the Alexandria database describes AcZn2Ge after structural relaxation. The functional is PBE.

Cell lengths 3.667, 3.667, 6.853 Å; angles 90.00, 90.00, 90.00 degrees
Atoms (fractional coordinates):
Ac1 0.000 0.000 0.000
Zn1 0.500 0.500 0.309
Zn2 0.500 0.500 0.691
Ge1 0.000 0.000 0.500

energy relative to the lowest polymorph listed for this composition = 33.4 kJ per mole of atoms
calculated formation energy = -0.103 eV/atom
DOS(E_F) = 2.26 states/eV/cell



[13]
This record from the Alexandria database describes AcZnGe after structural relaxation. The functional is PBE.

Cell lengths 4.380, 4.380, 4.599 Å; angles 90.00, 90.00, 120.00 degrees
Atoms (fractional coordinates):
Ac1 0.000 0.000 0.000
Zn1 0.333 0.667 0.500
Ge1 0.667 0.333 0.500

energy relative to the lowest polymorph listed for this composition = 0.0 kJ per mole of atoms
calculated formation energy = -0.623 eV/atom
DOS(E_F) = 2.84 states/eV/cell



[14]
This record from the Alexandria database describes AcZnGe2 after structural relaxation. The functional is PBE.

Cell lengths 4.937, 4.937, 4.937 Å; angles 68.26, 68.26, 68.26 degrees
Atoms (fractional coordinates):
Ac1 0.000 0.000 0.000
Zn1 0.500 0.500 0.500
Ge1 0.279 0.279 0.279
Ge2 0.721 0.721 0.721

energy relative to the lowest polymorph listed for this composition = 20.7 kJ per mole of atoms
calculated formation energy = -0.182 eV/atom
DOS(E_F) = 2.22 states/eV/cell



[15]
This record from the Alexandria database describes Ac6ZnGe5 after structural relaxation. The functional is PBE.

Cell lengths 8.120, 8.120, 7.839 Å; angles 100.00, 100.00, 120.33 degrees
Atoms (fractional coordinates):
Ac1 0.060 0.411 0.736
Ac2 0.234 0.234 0.256
Ac3 0.411 0.060 0.736
Ac4 0.589 0.940 0.264
Ac5 0.766 0.766 0.744
Ac6 0.940 0.589 0.264
Zn1 0.500 0.500 0.000
Ge1 0.000 0.000 0.500
Ge2 0.169 0.831 0.000
Ge3 0.345 0.655 0.500
Ge4 0.655 0.345 0.500
Ge5 0.831 0.169 0.000

calculated formation energy = -0.495 eV/atom
DOS(E_F) = 14.67 states/eV/cell



[16]
This record from the Alexandria database describes AcZn4Ge after structural relaxation. The functional is PBE.

Cell lengths 5.608, 5.608, 5.608 Å; angles 60.00, 60.00, 60.00 degrees
Atoms (fractional coordinates):
Ac1 0.000 0.000 0.000
Zn1 0.377 0.377 0.377
Zn2 0.377 0.377 0.869
Zn3 0.377 0.869 0.377
Zn4 0.869 0.377 0.377
Ge1 0.750 0.750 0.750

calculated formation energy = -0.071 eV/atom
DOS(E_F) = 1.97 states/eV/cell



[17]
This record from the Alexandria database describes Ac2ZnGe5 after structural relaxation. The functional is PBE.

Cell lengths 6.642, 6.642, 6.642 Å; angles 122.82, 122.82, 85.19 degrees
Atoms (fractional coordinates):
Ac1 0.000 0.500 0.500
Ac2 0.500 0.000 0.500
Zn1 0.136 0.136 0.000
Ge1 0.536 0.536 0.560
Ge2 0.536 0.977 0.000
Ge3 0.569 0.569 0.000
Ge4 0.977 0.536 0.000
Ge5 0.977 0.977 0.440

calculated formation energy = -0.402 eV/atom
DOS(E_F) = 3.47 states/eV/cell



[18]
This record from the Alexandria database describes Ac5Zn4Ge after structural relaxation. The functional is PBE.

Cell lengths 3.901, 3.901, 19.644 Å; angles 90.00, 90.00, 90.00 degrees
Atoms (fractional coordinates):
Ac1 0.000 0.000 0.000
Ac2 0.000 0.000 0.200
Ac3 0.000 0.000 0.401
Ac4 0.000 0.000 0.599
Ac5 0.000 0.000 0.800
Zn1 0.500 0.500 0.101
Zn2 0.500 0.500 0.295
Zn3 0.500 0.500 0.705
Zn4 0.500 0.500 0.899
Ge1 0.500 0.500 0.500

calculated formation energy = -0.303 eV/atom
DOS(E_F) = 10.42 states/eV/cell



[19]
This record from the Alexandria database describes AcZnGe after structural relaxation. The functional is PBE.

Cell lengths 4.869, 4.869, 4.869 Å; angles 60.00, 60.00, 60.00 degrees
Atoms (fractional coordinates):
Ac1 0.000 0.000 0.000
Zn1 0.250 0.250 0.250
Ge1 0.500 0.500 0.500

energy relative to the lowest polymorph listed for this composition = 31.0 kJ per mole of atoms
calculated formation energy = -0.302 eV/atom
DOS(E_F) = 2.01 states/eV/cell



[20]
This record from the Alexandria database describes AcZnGe2 after structural relaxation. The functional is PBE.

Cell lengths 4.644, 4.644, 4.452 Å; angles 90.00, 90.00, 90.00 degrees
Atoms (fractional coordinates):
Ac1 0.000 0.000 0.000
Zn1 0.500 0.500 0.000
Ge1 0.000 0.500 0.500
Ge2 0.500 0.000 0.500

energy relative to the lowest polymorph listed for this composition = 12.1 kJ per mole of atoms
calculated formation energy = -0.272 eV/atom
DOS(E_F) = 1.98 states/eV/cell



[21]
This record from the Alexandria database describes Ac3Zn6Ge5 after structural relaxation. The functional is PBE.

Cell lengths 4.362, 13.084, 10.697 Å; angles 90.00, 90.00, 90.00 degrees
Atoms (fractional coordinates):
Ac1 0.250 0.087 0.248
Ac2 0.250 0.413 0.248
Ac3 0.250 0.750 0.251
Ac4 0.750 0.250 0.749
Ac5 0.750 0.587 0.752
Ac6 0.750 0.913 0.752
Zn1 0.250 0.079 0.885
Zn2 0.250 0.250 0.008
Zn3 0.250 0.250 0.505
Zn4 0.250 0.421 0.885
Zn5 0.250 0.584 0.498
Zn6 0.250 0.916 0.498
Zn7 0.750 0.084 0.502
Zn8 0.750 0.416 0.502
Zn9 0.750 0.579 0.115
Zn10 0.750 0.750 0.495
Zn11 0.750 0.750 0.992
Zn12 0.750 0.921 0.115
Ge1 0.250 0.080 0.642
Ge2 0.250 0.420 0.642
Ge3 0.250 0.609 0.985
Ge4 0.250 0.750 0.638
Ge5 0.250 0.891 0.985
Ge6 0.750 0.109 0.015
Ge7 0.750 0.250 0.362
Ge8 0.750 0.391 0.015
Ge9 0.750 0.580 0.358
Ge10 0.750 0.920 0.358

calculated formation energy = -0.437 eV/atom
DOS(E_F) = 9.26 states/eV/cell



[22]
This record from the Alexandria database describes Ac5ZrGe4 after structural relaxation. The functional is PBE.

Cell lengths 9.817, 9.817, 8.505 Å; angles 103.46, 103.46, 25.62 degrees
Atoms (fractional coordinates):
Ac1 0.000 0.000 0.000
Ac2 0.329 0.329 0.664
Ac3 0.338 0.338 0.154
Ac4 0.662 0.662 0.846
Ac5 0.671 0.671 0.336
Zr1 0.000 0.000 0.500
Ge1 0.156 0.156 0.586
Ge2 0.497 0.497 0.718
Ge3 0.503 0.503 0.282
Ge4 0.844 0.844 0.414

calculated formation energy = -0.458 eV/atom
DOS(E_F) = 10.93 states/eV/cell



[23]
This record from the Alexandria database describes Ac2ZrGe3 after structural relaxation. The functional is PBE.

Cell lengths 7.322, 7.322, 7.322 Å; angles 143.92, 131.24, 62.14 degrees
Atoms (fractional coordinates):
Ac1 0.176 0.176 0.000
Ac2 0.824 0.824 0.000
Zr1 0.500 0.500 0.000
Ge1 0.000 0.500 0.500
Ge2 0.370 0.870 0.500
Ge3 0.630 0.130 0.500

calculated formation energy = -0.534 eV/atom
DOS(E_F) = 3.92 states/eV/cell



[24]
This record from the Alexandria database describes Ac4ZrGe5 after structural relaxation. The functional is PBE.

Cell lengths 7.690, 7.690, 7.690 Å; angles 99.48, 99.48, 132.11 degrees
Atoms (fractional coordinates):
Ac1 0.090 0.302 0.392
Ac2 0.302 0.910 0.212
Ac3 0.698 0.090 0.788
Ac4 0.910 0.698 0.608
Zr1 0.500 0.500 0.000
Ge1 0.235 0.593 0.828
Ge2 0.407 0.235 0.642
Ge3 0.593 0.765 0.358
Ge4 0.765 0.407 0.172
Ge5 0.998 0.998 0.000

calculated formation energy = -0.527 eV/atom
DOS(E_F) = 10.30 states/eV/cell